VASP calculation (PBE) on crystalline La2Tb3Pm6 at its relaxed geometry.

Cell: 6.235 6.243 11.954 Å, 84.92 79.79 60.04°
Fractional coordinates of all 11 atoms:
Pm (0.416, 0.667, 0.754)
Tb (0.335, 0.330, 0.000)
Tb (0.665, 0.670, 0.000)
Pm (0.251, 0.000, 0.246)
Pm (0.917, 0.667, 0.246)
La (0.833, 0.334, 0.500)
Pm (0.083, 0.333, 0.754)
Tb (0.000, 0.000, 0.000)
Pm (0.584, 0.333, 0.246)
La (0.167, 0.666, 0.500)
Pm (0.749, 0.000, 0.754)

Summary:
M_tot = 0.000 μB/f.u.
E above lowest polymorph = 0 meV/atom
ΔH_f (0 K) = 167 meV per atom
Symmetry = C2/m (12)